K2Rb4Na2Cd GGA-PBE relaxed; V = 576.3 Å³ per cell; DFT formation energy = 0.026 eV/atom; magnetization = 0.00 μB per atom; E_tot = -9.4 eV per cell
1.0
8.7020 1.1233 1.1455
0.0005 9.7089 0.0025
-3.1813 -5.3219 6.4011
Rb Cd Na K
4 1 2 2
Cartesian
1.6191 -0.1124 3.5221
3.9021 5.6227 4.0270
2.6848 2.7544 7.1673
2.8363 2.7559 0.3818
0.0000 0.0000 0.0000
4.1043 -1.3151 7.2245
1.4169 6.8254 0.3246
6.0713 1.2784 4.0120
-0.5501 4.2319 3.5371

---

K2RbNaCd GGA-PBE relaxed; V = 330.9 Å³ per cell; DFT formation energy = 0.106 eV/atom; magnetization = 0.00 μB per atom; E_tot = -4.9 eV per cell
1.0
-6.1035 3.0668 -0.2132
-0.4185 -0.3594 6.8117
3.1577 6.3212 0.5275
K Na Cd Rb
2 1 1 1
Cartesian
-3.0518 1.5334 -0.1066
-0.2093 -0.1797 3.4059
-1.6822 4.5143 3.5631
0.0000 0.0000 0.0000
1.5789 3.1606 0.2638

---

K5Rb2Na2Cd GGA-PBE relaxed; V = 1228.7 Å³ per cell; DFT formation energy = 0.023 eV/atom; magnetization = 0.00 μB per atom; E_tot = -21.5 eV per cell
1.0
4.8318 0.0000 0.0000
0.0000 15.9469 0.0000
0.0000 0.0000 15.9469
K Rb Cd Na
10 4 2 4
Cartesian
2.4159 8.7973 10.8543
2.4159 5.0926 8.7973
2.4159 7.1496 5.0926
2.4159 10.8543 7.1496
2.4159 2.8809 0.8239
2.4159 0.0000 7.9734
2.4159 0.8239 13.0660
2.4159 15.1230 2.8809
2.4159 13.0660 15.1230
2.4159 7.9734 0.0000
0.0000 2.8034 5.1700
0.0000 13.1435 10.7768
0.0000 5.1700 13.1435
0.0000 10.7768 2.8034
0.0000 7.9734 7.9734
0.0000 0.0000 0.0000
0.0000 10.1566 13.7637
0.0000 13.7637 5.7902
0.0000 2.1832 10.1566
0.0000 5.7902 2.1832

---

KNaCd2Re GGA-PBE relaxed; V = 173.5 Å³ per cell; DFT formation energy = 0.944 eV/atom; magnetization = 0.45 μB per atom; E_tot = -12.0 eV per cell
1.0
5.3827 0.0000 0.0000
0.0000 5.9895 0.0000
0.0000 0.0000 5.3827
Re Cd K Na
1 2 1 1
Cartesian
0.0000 0.0000 0.0000
0.0000 0.0000 2.6914
2.6914 0.0000 0.0000
0.0000 2.9948 0.0000
2.6914 2.9948 2.6914

---

KNaCdS2 GGA-PBE relaxed; V = 296.0 Å³ per cell; magnetization = 0.00 μB per atom; formation energy (no corrections) = -924.7 meV per atom; E_tot = -32.4 eV per cell
1.0
4.4164 0.0000 0.0000
-2.2082 7.4291 0.2602
0.0000 -1.4744 8.9686
S Na K Cd
4 2 2 2
Cartesian
2.2082 5.4704 0.9106
0.0000 0.4844 8.3182
0.0000 4.9842 6.3434
2.2082 0.9706 2.8854
2.2082 2.6830 0.7954
0.0000 3.2718 8.4335
2.2082 0.7977 5.9815
0.0000 5.1571 3.2474
0.0000 0.4535 1.6379
2.2082 5.5013 7.5909

---

K2NaCdSb2 GGA-PBE relaxed; V = 415.7 Å³ per cell; magnetization = 0.00 μB per atom; formation energy (no corrections) = -381.0 meV per atom; E_tot = -29.9 eV per cell
1.0
-4.9530 -3.6959 -3.3998
3.9637 0.0124 -5.7881
4.1336 -5.3132 7.0706
Sb K Cd Na
4 4 2 2
Cartesian
-2.8125 -4.2114 -1.9350
5.9567 -4.7853 -0.1823
1.7451 -6.4553 1.1813
1.3991 -2.5414 -3.2986
3.0852 -5.6289 -2.1506
-0.5145 -5.2684 -4.6149
0.0591 -3.3678 0.0333
3.6588 -3.7282 2.4976
-1.4856 -1.8448 -3.1469
0.4963 -1.8386 -6.0410
0.9909 0.0031 -1.4470
2.9728 0.0093 -4.3411